The following is a DFT calculation (PBE) of an optimized crystal structure of TaVCrTc.

Cell lengths 6.1326, 6.1326, 6.1326 Å; angles 90.00, 90.00, 90.00 degrees
Space group F-43m (No. 216)
One atom of each set of equivalent atoms:
Ta: 0.0000 0.0000 0.0000
V: 0.0000 0.0000 0.5000
Cr: 0.2500 0.2500 0.7500
Tc: 0.2500 0.2500 0.2500

## Properties
Total magnetization   0.00 Bohr magnetons per cell
Density of states at the Fermi level   0.754 states/eV per atom
Final energy   -41.82 eV per formula unit
Energy of formation from the pure elements   -0.216 eV per atom


The following is a DFT calculation (PBE) of an optimized crystal structure of TaCrTcW.

Cell lengths 6.2303, 6.2303, 6.2303 Å; angles 90.00, 90.00, 90.00 degrees
Space group F-43m (No. 216)
One atom of each set of equivalent atoms:
Ta: 0.0000 0.0000 0.0000
Cr: 0.2500 0.2500 0.7500
Tc: 0.2500 0.2500 0.2500
W: 0.0000 0.0000 0.5000

## Properties
Total magnetization   0.00 Bohr magnetons per cell
Density of states at the Fermi level   0.812 states/eV per atom
Final energy   -45.37 eV per formula unit
Energy of formation from the pure elements   -0.143 eV per atom


The following is a DFT calculation (PBE) of an optimized crystal structure of TaCrTe.

Cell lengths 6.0952, 6.0952, 6.0952 Å; angles 90.00, 90.00, 90.00 degrees
Space group F-43m (No. 216)
One atom of each set of equivalent atoms:
Ta: 0.0000 0.0000 0.0000
Cr: 0.2500 0.2500 0.7500
Te: 0.0000 0.0000 0.5000

## Properties
Offset from the most stable computed form   183 meV/atom
Total magnetization   3.86 Bohr magnetons per cell
Density of states at the Fermi level   0.742 states/eV per atom
Final energy   -23.89 eV per formula unit
Formation energy from raw total energies   23.51 kJ per mole of atoms


The following is a DFT calculation (PBE) of an optimized crystal structure of Ta4CrTe4.

Cell lengths 11.0524, 19.2462, 4.8476 Å; angles 90.00, 90.00, 90.00 degrees
Space group Pbam (No. 55)
One atom of each set of equivalent atoms:
Ta: 0.0641 0.1167 0.0000
Ta: 0.0986 0.8915 0.5000
Ta: 0.1894 0.0568 0.5000
Ta: 0.2039 0.9633 0.0000
Cr: 0.0000 0.0000 0.2499
Te: 0.1084 0.1983 0.5000
Te: 0.1545 0.4376 0.5000
Te: 0.1670 0.8159 0.0000
Te: 0.1785 0.5962 0.0000

## Properties
Total magnetization   0.00 Bohr magnetons per cell
Density of states at the Fermi level   0.434 states/eV per atom
Final energy   -72.81 eV per formula unit
Formation energy from raw total energies   -34.46 kJ per mole of atoms


The following is a DFT calculation (PBE) of an optimized crystal structure of Ta2CrTe.

Cell lengths 3.1781, 3.1781, 25.1559 Å; angles 90.00, 90.00, 120.00 degrees
Space group R3m (No. 160, hexagonal axes)
One atom of each set of equivalent atoms:
Ta: 0.0000 0.0000 0.0000
Ta: 0.0000 0.0000 0.2451
Cr: 0.0000 0.0000 0.7391
Te: 0.0000 0.0000 0.4870

## Properties
Total magnetization   0.03 Bohr magnetons per cell
Density of states at the Fermi level   1.204 states/eV per atom
Final energy   -34.81 eV per formula unit
Formation energy from raw total energies   40.15 kJ per mole of atoms


The following is a DFT calculation (PBE) of an optimized crystal structure of Ta2CrTe.

Cell lengths 3.2560, 3.9117, 5.6773 Å; angles 90.00, 97.84, 90.00 degrees
Space group P2/m (No. 10)
One atom of each set of equivalent atoms:
Ta: 0.0700 0.0000 0.2761
Cr: 0.5000 0.5000 0.5000
Te: 0.5000 0.5000 0.0000

## Properties
Total magnetization   0.88 Bohr magnetons per cell
Density of states at the Fermi level   0.847 states/eV per atom
Final energy   -35.18 eV per formula unit
Formation energy from raw total energies   31.13 kJ per mole of atoms


The following is a DFT calculation (PBE) of an optimized crystal structure of TaCrTe2.

Cell lengths 3.3643, 3.3643, 30.6073 Å; angles 90.00, 90.00, 120.00 degrees
Space group R3m (No. 160, hexagonal axes)
One atom of each set of equivalent atoms:
Ta: 0.0000 0.0000 0.0000
Cr: 0.0000 0.0000 0.2715
Te: 0.0000 0.0000 0.5460
Te: 0.0000 0.0000 0.7333

## Properties
Offset from the most stable computed form   208 meV/atom
Total magnetization   2.84 Bohr magnetons per cell
Density of states at the Fermi level   0.832 states/eV per atom
Final energy   -27.33 eV per formula unit
Formation energy from raw total energies   10.41 kJ per mole of atoms


The following is a DFT calculation (PBE) of an optimized crystal structure of TaCrTe3.

Cell lengths 5.4026, 5.4026, 5.4026 Å; angles 90.00, 90.00, 90.00 degrees
Space group Pm-3m (No. 221)
One atom of each set of equivalent atoms:
Ta: 0.0000 0.0000 0.0000
Cr: 0.5000 0.5000 0.5000
Te: 0.0000 0.0000 0.5000

## Properties
Offset from the most stable computed form   0 meV/atom
Total magnetization   5.04 Bohr magnetons per cell
Density of states at the Fermi level   0.996 states/eV per atom
Final energy   -27.96 eV per formula unit
Formation energy from raw total energies   56.72 kJ per mole of atoms